Material: CaZr2FeN
Method: DFT, GGA-PBE
State: relaxed

Cell lengths 4.5827, 4.5827, 5.4660 Å; angles 90.00, 90.00, 90.00 degrees
Space group P4/mmm (No. 123)
Symmetry-distinct sites (fractional):
Ca  0.0000  0.0000  0.0000
Zr  0.0000  0.5000  0.5000
Fe  0.0000  0.0000  0.5000
N  0.5000  0.5000  0.0000

- Raw formation energy: 1.0648 eV/atom
- N(E_F): 4.35 states/eV per cell
- Total moment: 0.0 μB per formula unit


Material: VGe4Mo2
Method: DFT, GGA-PBE
State: relaxed

Cell lengths 4.6979, 4.6979, 12.5975 Å; angles 90.00, 90.00, 90.00 degrees
Space group I4/mmm (No. 139)
Symmetry-distinct sites (fractional):
V  0.0000  0.0000  0.0000
Ge  0.0000  0.0000  0.1955
Ge  0.0000  0.5000  0.0000
Mo  0.0000  0.0000  0.4036

- N(E_F): 10.50 states/eV per cell
- Total moment: 0.0 μB per formula unit
- VASP energy: -6.44 eV per atom


Material: Hf3ZrPb2
Method: DFT, GGA-PBE
State: relaxed

Cell lengths 11.3480, 3.2258, 15.5637 Å; angles 90.00, 90.00, 90.00 degrees
Space group Pnma (No. 62)
Symmetry-distinct sites (fractional):
Hf  0.0515  0.2500  0.0778
Hf  0.0547  0.7500  0.4206
Hf  0.1677  0.2500  0.2718
Zr  0.1708  0.7500  0.6136
Pb  0.0724  0.2500  0.7700
Pb  0.2157  0.7500  0.9549

- N(E_F): 20.31 states/eV per cell
- Total moment: 0.0 μB per formula unit
- ΔE to the lowest computed polymorph: 37 meV per atom